BeCr (PBE-GGA, optimized geometry); space-group type = No. 164; calculated formation energy = 0.46 eV per formula unit
1.0
2.4360 0.0000 0.0000
-1.2180 2.1097 0.0000
0.0000 0.0000 8.0134
Be Cr
2 2
direct
0.6667 0.3333 0.2364
0.0000 0.0000 0.0136
0.0000 0.0000 0.4852
0.6667 0.3333 0.7648